1.
Crystalline MnIn at its relaxed geometry, computed with GGA-PBE. Values from VASP.

## Properties
Its total energy is -10.940 eV per formula unit. For the calculated formation energy, the calculation gives 0.4839 eV/atom. For the calculated volume, the calculation gives 18.54 Å³ per atom.

Structure (Quantum ESPRESSO input):
```
&SYSTEM
  ibrav = 0, nat = 4, ntyp = 2
/
ATOMIC_SPECIES
In 114.82 In.upf
Mn 54.94 Mn.upf
ATOMIC_POSITIONS angstrom
In -3.667 -1.964 -1.207
In -6.112 -3.273 -2.011
Mn -8.557 -4.582 -2.816
Mn -1.222 -0.655 -0.402
CELL_PARAMETERS angstrom
-4.010 0.491 -2.431
-1.811 -3.679 -2.328
-3.958 -2.049 1.541
```

***

2.
Crystalline Mg2Au2F at its relaxed geometry, computed with GGA-PBE. Values from VASP.

## Properties
For the formation energy without anion corrections, the calculation gives -2.7 eV per formula unit. Its total energy is -14.356 eV per formula unit. For the calculated volume, the calculation gives 22.47 Å³ per atom.

Structure (Quantum ESPRESSO input):
```
&SYSTEM
  ibrav = 0, nat = 5, ntyp = 3
/
ATOMIC_SPECIES
Au 196.97 Au.upf
Mg 24.30 Mg.upf
F 19.00 F.upf
ATOMIC_POSITIONS angstrom
Au -2.244 1.831 2.165
Au -4.268 3.504 5.304
Mg -2.204 3.984 3.712
Mg -4.308 1.352 3.758
F 0.000 0.000 0.000
CELL_PARAMETERS angstrom
-0.425 4.669 0.855
-4.632 -0.595 0.947
-1.455 1.262 5.668
```

***

3.
Crystalline Bi2TeAs at its relaxed geometry, computed with GGA-PBE. Values from VASP.

## Properties
For the formation energy without anion corrections, the calculation gives 0.0 eV per formula unit. Its total energy is -15.569 eV per formula unit. For the calculated volume, the calculation gives 30.81 Å³ per atom.

Structure (Quantum ESPRESSO input):
```
&SYSTEM
  ibrav = 0, nat = 4, ntyp = 3
/
ATOMIC_SPECIES
As 74.92 As.upf
Te 127.60 Te.upf
Bi 208.98 Bi.upf
ATOMIC_POSITIONS angstrom
As 0.371 -4.814 -0.064
Te 1.498 -4.803 3.976
Bi 0.645 -2.402 1.615
Bi 1.859 -2.391 5.968
CELL_PARAMETERS angstrom
-1.734 -3.773 0.494
2.281 -3.448 -0.627
2.369 -2.386 7.796
```

***

4.
Crystalline TcBiN3 at its relaxed geometry, computed with GGA-PBE. Values from VASP.

## Properties
For the formation energy without anion corrections, the calculation gives 3.7 eV per formula unit. Its total energy is -35.543 eV per formula unit. For the calculated volume, the calculation gives 12.34 Å³ per atom.

Structure (Quantum ESPRESSO input):
```
&SYSTEM
  ibrav = 0, nat = 5, ntyp = 3
/
ATOMIC_SPECIES
Tc 98.00 Tc.upf
N 14.01 N.upf
Bi 208.98 Bi.upf
ATOMIC_POSITIONS angstrom
Tc 0.000 0.000 0.000
N 1.070 0.030 -1.661
N 1.634 -0.373 1.046
N -0.298 -1.940 -0.227
Bi 2.406 -2.283 -0.842
CELL_PARAMETERS angstrom
-0.595 -3.880 -0.454
2.139 0.061 -3.322
3.268 -0.747 2.091
```

***

5.
Crystalline ReIr2Os3 at its relaxed geometry, computed with GGA-PBE. Values from VASP.

## Properties
Its total energy is -63.841 eV per formula unit. For the calculated formation energy, the calculation gives 0.0031 eV/atom. For the calculated volume, the calculation gives 14.48 Å³ per atom.

Structure (Quantum ESPRESSO input):
```
&SYSTEM
  ibrav = 0, nat = 12, ntyp = 3
/
ATOMIC_SPECIES
Os 190.23 Os.upf
Re 186.21 Re.upf
Ir 192.22 Ir.upf
ATOMIC_POSITIONS angstrom
Os 0.594 1.616 5.681
Os 2.915 2.085 4.363
Os 4.125 5.373 7.549
Os 2.363 3.510 6.602
Os 4.683 3.979 5.284
Os 1.153 0.222 3.415
Re 1.807 4.909 8.857
Re 3.471 0.686 2.108
Ir 3.254 4.475 2.988
Ir 2.024 1.119 7.977
Ir 3.790 3.046 8.908
Ir 1.488 2.549 2.056
CELL_PARAMETERS angstrom
3.762 0.000 0.928
1.543 5.622 1.834
-0.027 -0.027 8.202
```

***

6.
Crystalline La6Y8Th at its relaxed geometry, computed with GGA-PBE. Values from VASP.

## Properties
Its total energy is -86.022 eV per formula unit. For the calculated formation energy, the calculation gives 0.1784 eV/atom. For the calculated volume, the calculation gives 34.30 Å³ per atom.

Structure (Quantum ESPRESSO input):
```
&SYSTEM
  ibrav = 0, nat = 15, ntyp = 3
/
ATOMIC_SPECIES
Y 88.91 Y.upf
La 138.91 La.upf
Th 232.04 Th.upf
ATOMIC_POSITIONS angstrom
Y 12.485 7.918 3.129
Y 6.369 6.853 3.129
Y 9.734 5.620 4.574
Y 9.120 9.151 3.140
Y 9.734 5.620 1.695
Y 13.099 4.387 3.140
Y 10.349 2.089 3.129
Y 6.984 3.323 3.140
La 13.012 10.342 6.073
La 2.417 2.390 0.196
La 17.052 8.850 6.073
La 5.729 5.142 0.196
La 6.456 0.898 0.196
La 13.740 6.098 6.073
Th 0.000 0.000 0.000
CELL_PARAMETERS angstrom
9.734 0.000 0.000
4.867 8.430 0.000
4.867 2.810 6.269
```

***

7.
Crystalline Ho3Ge5Ir6 at its relaxed geometry, computed with GGA-PBE. Values from VASP.

## Properties
Its total energy is -100.724 eV per formula unit. For the calculated formation energy, the calculation gives -0.7670 eV/atom. For the calculated volume, the calculation gives 17.91 Å³ per atom.

Structure (Quantum ESPRESSO input):
```
&SYSTEM
  ibrav = 0, nat = 28, ntyp = 3
/
ATOMIC_SPECIES
Ir 192.22 Ir.upf
Ge 72.64 Ge.upf
Ho 164.93 Ho.upf
ATOMIC_POSITIONS angstrom
Ir 5.468 2.771 3.210
Ir 3.278 8.862 5.675
Ir 5.811 7.711 4.361
Ir 8.058 2.227 6.677
Ir 3.517 -1.130 3.801
Ir 4.718 5.401 3.369
Ir 9.012 4.652 5.307
Ir 0.177 2.045 0.493
Ir 2.767 1.501 3.961
Ir -0.777 -0.380 1.863
Ir 0.746 10.244 2.403
Ir 8.343 6.329 7.633
Ge 3.786 6.501 5.452
Ge 0.564 1.494 2.888
Ge 5.304 10.071 4.584
Ge 4.649 0.641 2.387
Ge 7.671 2.778 4.282
Ge 7.961 6.944 5.253
Ge 7.479 -1.305 3.375
Ge 1.128 9.629 4.783
Ge 0.756 5.577 3.795
Ge 3.586 3.630 4.783
Ho 6.339 8.734 7.138
Ho 2.750 7.839 2.898
Ho 5.773 0.570 5.236
Ho 2.199 -0.384 0.992
Ho 6.036 4.656 6.178
Ho 2.463 3.701 1.934
CELL_PARAMETERS angstrom
-1.765 -0.723 3.632
8.691 -1.517 3.922
0.854 12.301 2.866
```

***

8.
Crystalline Sr2LiW at its relaxed geometry, computed with GGA-PBE. Values from VASP.

## Properties
Its total energy is -13.900 eV per formula unit. For the calculated formation energy, the calculation gives 1.0826 eV/atom. For the calculated volume, the calculation gives 27.89 Å³ per atom.

Structure (Quantum ESPRESSO input):
```
&SYSTEM
  ibrav = 0, nat = 4, ntyp = 3
/
ATOMIC_SPECIES
Li 6.94 Li.upf
W 183.84 W.upf
Sr 87.62 Sr.upf
ATOMIC_POSITIONS angstrom
Li 0.715 1.350 5.602
W 0.218 2.366 2.344
Sr 0.424 4.609 4.567
Sr 0.530 -0.653 3.617
CELL_PARAMETERS angstrom
-2.465 -1.270 1.511
3.250 -3.030 2.755
0.441 4.789 4.746
```

***

9.
Crystalline ScAgHg3 at its relaxed geometry, computed with GGA-PBE. Values from VASP.

## Properties
Its total energy is -7.994 eV per formula unit. For the calculated formation energy, the calculation gives 0.4189 eV/atom. For the calculated volume, the calculation gives 28.20 Å³ per atom.

Structure (Quantum ESPRESSO input):
```
&SYSTEM
  ibrav = 0, nat = 5, ntyp = 3
/
ATOMIC_SPECIES
Hg 200.59 Hg.upf
Sc 44.96 Sc.upf
Ag 107.87 Ag.upf
ATOMIC_POSITIONS angstrom
Hg 2.602 0.000 0.000
Hg 0.000 0.000 2.602
Hg 0.000 2.602 0.000
Sc 2.602 2.602 2.602
Ag 0.000 0.000 0.000
CELL_PARAMETERS angstrom
5.205 0.000 0.000
0.000 5.205 0.000
0.000 0.000 5.205
```

***

10.
Crystalline SrW2C at its relaxed geometry, computed with GGA-PBE. Values from VASP.

## Properties
Its total energy is -33.082 eV per formula unit. For the calculated formation energy, the calculation gives 0.9325 eV/atom. For the calculated volume, the calculation gives 22.64 Å³ per atom.

Structure (Quantum ESPRESSO input):
```
&SYSTEM
  ibrav = 0, nat = 8, ntyp = 3
/
ATOMIC_SPECIES
W 183.84 W.upf
C 12.01 C.upf
Sr 87.62 Sr.upf
ATOMIC_POSITIONS angstrom
W 3.292 5.844 8.346
W 4.083 3.119 6.923
W 0.779 2.588 2.560
W 1.894 1.474 5.315
C 0.323 1.611 4.178
C 3.465 1.336 6.453
Sr 1.559 5.176 5.119
Sr 0.000 0.000 0.000
CELL_PARAMETERS angstrom
-1.583 5.451 2.844
2.228 -2.228 5.511
4.378 3.290 3.217
```

***

11.
Crystalline Ti6TlHg at its relaxed geometry, computed with GGA-PBE. Values from VASP.

## Properties
Its total energy is -49.959 eV per formula unit. For the calculated formation energy, the calculation gives 0.0098 eV/atom. For the calculated volume, the calculation gives 18.07 Å³ per atom.

Structure (Quantum ESPRESSO input):
```
&SYSTEM
  ibrav = 0, nat = 8, ntyp = 3
/
ATOMIC_SPECIES
Hg 200.59 Hg.upf
Ti 47.87 Ti.upf
Tl 204.38 Tl.upf
ATOMIC_POSITIONS angstrom
Hg 0.000 0.257 5.153
Ti 0.000 2.857 3.785
Ti 0.000 0.333 2.216
Ti 0.000 2.953 0.815
Ti 2.416 2.175 -0.664
Ti 2.416 4.718 -2.025
Ti 2.416 4.623 0.858
Tl 2.416 2.047 2.272
CELL_PARAMETERS angstrom
4.832 0.000 0.000
0.000 5.182 -2.772
0.000 -0.191 5.874
```

***

12.
Crystalline AlCo2W at its relaxed geometry, computed with GGA-PBE. Values from VASP.

## Properties
Its total energy is -29.025 eV per formula unit. For the calculated formation energy, the calculation gives 0.4706 eV/atom. For the calculated volume, the calculation gives 13.99 Å³ per atom.

Structure (Quantum ESPRESSO input):
```
&SYSTEM
  ibrav = 0, nat = 8, ntyp = 3
/
ATOMIC_SPECIES
Co 58.93 Co.upf
Al 26.98 Al.upf
W 183.84 W.upf
ATOMIC_POSITIONS angstrom
Co 2.048 -1.556 4.497
Co -0.198 -6.027 10.082
Co -2.121 -3.432 3.377
Co -0.550 -3.070 6.436
Al 1.841 -2.630 6.682
Al 0.265 -2.933 3.552
W -2.251 -4.412 5.515
W 0.000 0.000 0.000
CELL_PARAMETERS angstrom
-3.828 -4.716 2.385
4.358 -1.151 4.719
-0.940 -1.176 5.093
```

***

> What is the calculated volume in the seventh record?

17.91 Å³ per atom